VASP calculation (PBE) on crystalline Tb6Pm2Nd3Pb at its relaxed geometry.

Summary:
DFT formation energy = -65 meV per atom
density = 8.1 Mg/m³
spin magnetization = 0.000 μB per cell

Cell lengths 6.1875, 10.7245, 11.8475 Å; angles 90.00, 100.13, 90.00 degrees
With the nearest neighbours (Å) after each atom.
Space group C2/m (No. 12)
Unique sites:
Tb 0.2442 0.0000 0.2522 x4  6 Tb 3.50-3.61, 1 Pb 3.53, 2 Pm 3.56, 3 Nd 3.59-3.62
Tb 0.2445 0.1630 0.7462 x8  6 Tb 3.50-3.61, 1 Pb 3.51, 2 Pm 3.55, 3 Nd 3.60-3.63
Pm 0.0000 0.3341 0.5000 x4  6 Tb 3.55-3.56, 3 Pm 3.56-3.58, 3 Pb 3.57-3.58
Nd 0.0000 0.1683 0.0000 x4  6 Nd 3.56-3.61, 6 Tb 3.59-3.63
Nd 0.0000 0.5000 0.0000 x2  6 Nd 3.56-3.58, 6 Tb 3.60-3.62
Pb 0.0000 0.0000 0.5000 x2  6 Tb 3.51-3.53, 6 Pm 3.57-3.58